Record 1
A relaxed structure of NaTeBr4, computed with GGA-PBE.

The space group is Cccm (No. 66) and the conventional cell measures 8.059, 12.602 and 8.308 Å, with angles of 90.00, 90.00 and 90.00 degrees. Symmetry generates all atoms from Na at (0.000, 0.000, 0.250), Te at (0.250, 0.250, 0.000), Br at (0.000, 0.245, 0.250) and Br at (0.243, 0.466, 0.000).

For the energy relative to the elements, uncorrected, the calculation gives -69.3 kJ/mol of atoms. The energy above the most stable polymorph in this dataset comes out at 0.0 meV/atom. The calculation puts the density of states at the Fermi level at 0.109 states/eV per atom.


Record 2
A relaxed structure of Na6TeBr4, computed with GGA-PBE.

The space group is Cmcm (No. 63) and the conventional cell measures 4.384, 14.174 and 20.712 Å, with angles of 90.00, 90.00 and 90.00 degrees. Symmetry generates all atoms from Na at (0.000, 0.000, 0.000), Na at (0.000, 0.195, 0.250), Na at (0.000, 0.264, 0.595), Na at (0.000, 0.446, 0.166), Te at (0.000, 0.160, 0.750), Br at (0.000, 0.092, 0.130) and Br at (0.000, 0.362, 0.040).

For the energy relative to the elements, uncorrected, the calculation gives -130.4 kJ/mol of atoms.


Record 3
A relaxed structure of NaTeBr2, computed with GGA-PBE.

The space group is Fm-3m (No. 225) and the conventional cell measures 7.867, 7.867 and 7.867 Å, with angles of 90.00, 90.00 and 90.00 degrees. Symmetry generates all atoms from Na at (0.000, 0.000, 0.000), Te at (0.000, 0.000, 0.500) and Br at (0.250, 0.250, 0.250).

For the energy relative to the elements, uncorrected, the calculation gives -28.8 kJ/mol of atoms. The energy above the most stable polymorph in this dataset comes out at 389.9 meV/atom. The calculation puts the density of states at the Fermi level at 0.923 states/eV per atom.


Record 4
A relaxed structure of NaTeBr6, computed with GGA-PBE.

The space group is C2/m (No. 12) and the conventional cell measures 8.583, 11.987 and 7.240 Å, with angles of 90.00, 124.22 and 90.00 degrees. Symmetry generates all atoms from Na at (0.000, 0.000, 0.000), Te at (0.000, 0.500, 0.500), Br at (0.160, 0.344, 0.821) and Br at (0.188, 0.000, 0.500).

For the energy relative to the elements, uncorrected, the calculation gives -52.3 kJ/mol of atoms. The calculation puts the density of states at the Fermi level at 0.321 states/eV per atom.


Record 5
A relaxed structure of Na3TeBr6, computed with GGA-PBE.

The space group is P2_1/c (No. 14) and the conventional cell measures 7.467, 7.675 and 13.122 Å, with angles of 90.00, 119.24 and 90.00 degrees. Symmetry generates all atoms from Na at (0.000, 0.000, 0.000), Na at (0.272, 0.076, 0.777), Te at (0.500, 0.000, 0.500), Br at (0.092, 0.078, 0.235), Br at (0.301, 0.674, 0.099) and Br at (0.396, 0.188, 0.056).

For the energy relative to the elements, uncorrected, the calculation gives -95.0 kJ/mol of atoms. The calculation puts the density of states at the Fermi level at 0.083 states/eV per atom.


Record 6
A relaxed structure of NaTe2Br, computed with GGA-PBE.

The space group is R-3m (No. 166, hexagonal axes) and the conventional cell measures 3.5483, 3.5483 and 30.7223 Å, with angles of 90.00, 90.00 and 120.00 degrees. Symmetry generates all atoms from Na at (0.0000, 0.0000, 0.0000), Te at (0.0000, 0.0000, 0.2505) and Br at (0.0000, 0.0000, 0.5000).

For the energy relative to the elements, uncorrected, the calculation gives 3.7 kJ/mol of atoms. The energy above the most stable polymorph in this dataset comes out at 667.6 meV/atom. The calculation puts the density of states at the Fermi level at 0.803 states/eV per atom.


Record 7
A relaxed structure of NaTe2Br, computed with GGA-PBE.

The space group is R-3m (No. 166, hexagonal axes) and the conventional cell measures 3.7626, 3.7626 and 30.5485 Å, with angles of 90.00, 90.00 and 120.00 degrees. Symmetry generates all atoms from Na at (0.0000, 0.0000, 0.0000), Te at (0.0000, 0.0000, 0.4099) and Br at (0.0000, 0.0000, 0.5000).

For the energy relative to the elements, uncorrected, the calculation gives -7.8 kJ/mol of atoms. The energy above the most stable polymorph in this dataset comes out at 548.7 meV/atom. The calculation puts the density of states at the Fermi level at 0.699 states/eV per atom.


Record 8
A relaxed structure of NaTeBr3, computed with GGA-PBE.

The space group is P-1 (No. 2) and the conventional cell measures 4.462, 9.243 and 9.257 Å, with angles of 101.95, 102.53 and 101.85 degrees. Symmetry generates all atoms from Na at (0.000, 0.210, 0.285), Te at (0.453, 0.680, 0.180), Br at (0.397, 0.962, 0.187), Br at (0.398, 0.688, 0.461) and Br at (0.500, 0.359, 0.141).

For the energy relative to the elements, uncorrected, the calculation gives -67.8 kJ/mol of atoms. The energy above the most stable polymorph in this dataset comes out at 8.2 meV/atom.


Record 9
A relaxed structure of NaTe2Br, computed with GGA-PBE.

The space group is Fm-3m (No. 225) and the conventional cell measures 7.724, 7.724 and 7.724 Å, with angles of 90.00, 90.00 and 90.00 degrees. Symmetry generates all atoms from Na at (0.000, 0.000, 0.000), Te at (0.250, 0.250, 0.250) and Br at (0.000, 0.000, 0.500).

For the energy relative to the elements, uncorrected, the calculation gives 9.0 kJ/mol of atoms. The energy above the most stable polymorph in this dataset comes out at 723.0 meV/atom. The calculation puts the density of states at the Fermi level at 1.378 states/eV per atom.


Record 10
A relaxed structure of Na2Te2Br, computed with GGA-PBE.

The space group is P4/mmm (No. 123) and the conventional cell measures 5.388, 5.388 and 5.835 Å, with angles of 90.00, 90.00 and 90.00 degrees. Symmetry generates all atoms from Na at (0.000, 0.500, 0.000), Te at (0.000, 0.000, 0.500), Te at (0.500, 0.500, 0.500) and Br at (0.000, 0.000, 0.000).

For the energy relative to the elements, uncorrected, the calculation gives -39.0 kJ/mol of atoms. The energy above the most stable polymorph in this dataset comes out at 93.1 meV/atom. The calculation puts the density of states at the Fermi level at 0.308 states/eV per atom.


Record 11
A relaxed structure of NaTeBr3, computed with GGA-PBE.

The space group is P-1 (No. 2) and the conventional cell measures 5.691, 8.664 and 8.931 Å, with angles of 104.68, 94.82 and 96.03 degrees. Symmetry generates all atoms from Na at (0.204, 0.323, 0.379), Te at (0.293, 0.405, 0.881), Br at (0.205, 0.154, 0.626), Br at (0.219, 0.188, 0.038) and Br at (0.288, 0.602, 0.661).

For the energy relative to the elements, uncorrected, the calculation gives -68.5 kJ/mol of atoms. The energy above the most stable polymorph in this dataset comes out at 0.0 meV/atom.


Record 12
A relaxed structure of NaTeBr2, computed with GGA-PBE.

The space group is R-3m (No. 166, hexagonal axes) and the conventional cell measures 4.1082, 4.1082 and 26.7205 Å, with angles of 90.00, 90.00 and 120.00 degrees. Symmetry generates all atoms from Na at (0.0000, 0.0000, 0.0000), Te at (0.0000, 0.0000, 0.5000) and Br at (0.0000, 0.0000, 0.3972).

For the energy relative to the elements, uncorrected, the calculation gives -66.4 kJ/mol of atoms. The energy above the most stable polymorph in this dataset comes out at 0.0 meV/atom. The calculation puts the density of states at the Fermi level at 0.622 states/eV per atom.


Record 13
A relaxed structure of NaTeBr2, computed with GGA-PBE.

The space group is R-3m (No. 166, hexagonal axes) and the conventional cell measures 3.7692, 3.7692 and 30.8252 Å, with angles of 90.00, 90.00 and 120.00 degrees. Symmetry generates all atoms from Na at (0.0000, 0.0000, 0.0000), Te at (0.0000, 0.0000, 0.5000) and Br at (0.0000, 0.0000, 0.0857).

For the energy relative to the elements, uncorrected, the calculation gives -15.5 kJ/mol of atoms. The energy above the most stable polymorph in this dataset comes out at 527.5 meV/atom. The calculation puts the density of states at the Fermi level at 1.258 states/eV per atom.


Record 14
A relaxed structure of NaTlTeBr6, computed with GGA-PBE.

The space group is P-31c (No. 163) and the conventional cell measures 7.4995, 7.4995 and 14.1247 Å, with angles of 90.00, 90.00 and 120.00 degrees. Symmetry generates all atoms from Na at (0.3333, 0.6667, 0.2500), Tl at (0.0000, 0.0000, 0.0000), Te at (0.3333, 0.6667, 0.7500) and Br at (0.0269, 0.3783, 0.6369).

For the energy relative to the elements, uncorrected, the calculation gives -71.9 kJ/mol of atoms. The calculation puts the density of states at the Fermi level at 0.000 states/eV per atom.


Record 15
A relaxed structure of NaTh2Br8, computed with GGA-PBE.

The space group is C2/m (No. 12) and the conventional cell measures 14.017, 6.963 and 8.405 Å, with angles of 90.00, 108.95 and 90.00 degrees. Symmetry generates all atoms from Na at (0.000, 0.000, 0.000), Th at (0.133, 0.000, 0.574), Br at (0.002, 0.246, 0.709), Br at (0.221, 0.500, 0.113) and Br at (0.229, 0.500, 0.618).

For the energy relative to the elements, uncorrected, the calculation gives -151.4 kJ/mol of atoms. The energy above the most stable polymorph in this dataset comes out at 0.0 meV/atom.


Record 16
A relaxed structure of NaThBr2, computed with GGA-PBE.

The space group is R-3m (No. 166, hexagonal axes) and the conventional cell measures 3.7197, 3.7197 and 32.6290 Å, with angles of 90.00, 90.00 and 120.00 degrees. Symmetry generates all atoms from Na at (0.0000, 0.0000, 0.0000), Th at (0.0000, 0.0000, 0.5000) and Br at (0.0000, 0.0000, 0.0998).

For the energy relative to the elements, uncorrected, the calculation gives -103.5 kJ/mol of atoms. The calculation puts the density of states at the Fermi level at 0.519 states/eV per atom.


Record 17
A relaxed structure of Na5Th3Br12, computed with GGA-PBE.

The space group is Ia-3d (No. 230) and the conventional cell measures 17.220, 17.220 and 17.220 Å, with angles of 90.00, 90.00 and 90.00 degrees. Symmetry generates all atoms from Na at (0.000, 0.000, 0.000), Na at (0.000, 0.250, 0.375), Th at (0.000, 0.250, 0.125) and Br at (0.020, 0.070, 0.654).

For the energy relative to the elements, uncorrected, the calculation gives -120.1 kJ/mol of atoms. The calculation puts the density of states at the Fermi level at 0.509 states/eV per atom.


Record 18
A relaxed structure of NaTh2Br8, computed with GGA-PBE.

The space group is C2/m (No. 12) and the conventional cell measures 9.153, 13.068 and 5.898 Å, with angles of 90.00, 102.60 and 90.00 degrees. Symmetry generates all atoms from Na at (0.000, 0.000, 0.000), Th at (0.000, 0.320, 0.500), Br at (0.000, 0.241, 0.000), Br at (0.119, 0.500, 0.802) and Br at (0.195, 0.133, 0.590).

For the energy relative to the elements, uncorrected, the calculation gives -149.4 kJ/mol of atoms. The energy above the most stable polymorph in this dataset comes out at 20.4 meV/atom. The calculation puts the density of states at the Fermi level at 0.573 states/eV per atom.


Record 19
A relaxed structure of Na3ThBr7, computed with GGA-PBE.

The space group is Cm (No. 8) and the conventional cell measures 12.600, 8.900 and 7.972 Å, with angles of 90.00, 118.23 and 90.00 degrees. Symmetry generates all atoms from Na at (0.000, 0.000, 0.000), Na at (0.029, 0.280, 0.459), Th at (0.127, 0.500, 0.043), Br at (0.189, 0.230, 0.278), Br at (0.210, 0.500, 0.754), Br at (0.402, 0.500, 0.271), Br at (0.434, 0.000, 0.151) and Br at (0.470, 0.224, 0.771).

For the energy relative to the elements, uncorrected, the calculation gives -156.4 kJ/mol of atoms. The calculation puts the density of states at the Fermi level at 0.000 states/eV per atom.


Record 20
A relaxed structure of NaThBr4, computed with GGA-PBE.

The space group is P2/m (No. 10) and the conventional cell measures 7.732, 3.870 and 7.813 Å, with angles of 90.00, 108.57 and 90.00 degrees. Symmetry generates all atoms from Na at (0.000, 0.000, 0.000), Th at (0.000, 0.500, 0.500), Br at (0.220, 0.500, 0.265) and Br at (0.248, 0.000, 0.755).

For the energy relative to the elements, uncorrected, the calculation gives -150.0 kJ/mol of atoms. The energy above the most stable polymorph in this dataset comes out at 0.0 meV/atom. The calculation puts the density of states at the Fermi level at 0.199 states/eV per atom.


One value per record, in order, for calculated volume: 843.8; 1286.9; 486.9; 616.0; 656.2; 335.0; 374.5; 351.9; 460.9; 169.4; 420.8; 390.5; 379.3; 688.0; 775.9; 391.0; 5106.1; 688.5; 787.6; 221.6 Å³/cell.